Entry from the Alexandria database: a geometry-optimized MgPtSe2 structure (PBEsol).

Formation energy (no corrections)   -0.07 eV/atom

Cell: 3.228 3.228 6.834 Å, 90.00 90.00 90.00°
Atoms (fractional coordinates):
1 Mg 0.500 0.500 0.000
2 Pt 0.500 0.500 0.500
3 Se 0.000 0.000 0.744
4 Se 0.000 0.000 0.256

Entry from the Alexandria database: a geometry-optimized MgPtSe2 structure (PBEsol).

Formation energy (no corrections)   -0.15 eV/atom

Cell: 3.542 3.542 8.190 Å, 77.51 77.51 60.00°
Atoms (fractional coordinates):
1 Mg 0.500 0.500 0.500
2 Se 0.902 0.902 0.293
3 Se 0.098 0.098 0.707
4 Pt 0.000 0.000 0.000

Entry from the Alexandria database: a geometry-optimized Mg2PtSe structure (PBEsol).

Formation energy (no corrections)   -0.68 eV/atom

Cell: 3.324 4.556 4.556 Å, 90.00 90.00 90.00°
Atoms (fractional coordinates):
1 Mg 0.000 0.000 0.500
2 Mg 0.000 0.500 0.000
3 Pt 0.500 0.500 0.500
4 Se 0.500 0.000 0.000